# 1
{
  "formula": "Rb2UCu2Se6",
  "functional": "PBE",
  "state": "optimized geometry",
  "crystal_system": "trigonal",
  "dos_ef_per_ev_cell": 6.7,
  "space_group": "P-3",
  "raw_formation_energy_ev_per_fu": -7.39,
  "rho_g_cm3": 4.71,
  "total_energy_ev_per_cell": -49.7,
  "lattice": [[7.583, 0.000, 0.000], [-3.791, 6.567, 0.000], [0.000, 0.000, 7.157]],
  "species": ["Rb", "Rb", "U", "Cu", "Cu", "Se", "Se", "Se", "Se", "Se", "Se"],
  "fractional_positions": [[0.333, 0.667, 0.282], [0.667, 0.333, 0.718], [0.000, 0.000, 0.000], [0.333, 0.667, 0.790], [0.667, 0.333, 0.210], [0.158, 0.318, 0.764], [0.160, 0.842, 0.764], [0.318, 0.160, 0.236], [0.682, 0.840, 0.764], [0.840, 0.158, 0.236], [0.842, 0.682, 0.236]]
}

# 2
{
  "formula": "K2AgMoS4",
  "functional": "PBE",
  "state": "optimized geometry",
  "crystal_system": "tetragonal",
  "dos_ef_per_ev_cell": 3.4,
  "space_group": "I-4",
  "raw_formation_energy_ev_per_fu": -5.82,
  "rho_g_cm3": 3.04,
  "total_energy_ev_per_cell": -38.2,
  "lattice": [[-3.711, 3.711, 4.071], [3.711, -3.711, 4.071], [3.711, 3.711, -4.071]],
  "species": ["K", "K", "Ag", "Mo", "S", "S", "S", "S"],
  "fractional_positions": [[0.000, 0.000, 0.000], [0.750, 0.250, 0.500], [0.250, 0.750, 0.500], [0.500, 0.500, 0.000], [0.200, 0.142, 0.647], [0.447, 0.800, 0.942], [0.495, 0.553, 0.353], [0.858, 0.505, 0.058]]
}

# 3
{
  "formula": "ZnAsRh",
  "functional": "PBE",
  "state": "optimized geometry",
  "crystal_system": "cubic",
  "dos_ef_per_ev_cell": 2.0,
  "space_group": "F-43m",
  "ef_ev_per_atom": -0.25,
  "rho_g_cm3": 7.78,
  "total_energy_ev_per_cell": -14.0,
  "lattice": [[0.000, 2.961, 2.961], [2.961, 0.000, 2.961], [2.961, 2.961, 0.000]],
  "species": ["Zn", "As", "Rh"],
  "fractional_positions": [[0.000, 0.000, 0.000], [0.500, 0.500, 0.500], [0.250, 0.250, 0.250]]
}

# 4
{
  "formula": "FeGeIr3",
  "functional": "PBE",
  "state": "optimized geometry",
  "crystal_system": "cubic",
  "dos_ef_per_ev_cell": 6.8,
  "space_group": "Pm-3m",
  "ef_ev_per_atom": 1.36,
  "de_polymorph_ev_per_fu": 0.00,
  "rho_g_cm3": 13.06,
  "total_energy_ev_per_cell": -32.9,
  "lattice": [[4.475, 0.000, 0.000], [0.000, 4.475, 0.000], [0.000, 0.000, 4.475]],
  "species": ["Fe", "Ge", "Ir", "Ir", "Ir"],
  "fractional_positions": [[0.000, 0.000, 0.000], [0.500, 0.500, 0.500], [0.000, 0.000, 0.500], [0.000, 0.500, 0.000], [0.500, 0.000, 0.000]]
}